Pm2Ho2Tm3 | PBE-GGA | optimized geometry

CIF file:
```
data_Pm2Ho2Tm3
_cell_length_a 17.4131
_cell_length_b 3.4903
_cell_length_c 8.4768
_cell_angle_alpha 90.00
_cell_angle_beta 119.11
_cell_angle_gamma 90.00
_space_group_name_H-M_alt 'C 1 2/m 1'
_space_group_IT_number 12
_space_group_name_Hall '-C 2y'
loop_
_atom_site_label
_atom_site_type_symbol
_atom_site_fract_x
_atom_site_fract_y
_atom_site_fract_z
Pm1 Pm 0.0671 0.0000 0.4120
Ho1 Ho 0.1500 0.5000 0.8334
Tm1 Tm 0.0000 0.5000 0.0000
Tm2 Tm 0.2115 0.5000 0.3003
```

Calculated values
- formation energy (eV/atom) = 0.126
- final energy (eV per atom) = -4.4560
- magnetic moment (μB/f.u.) = 0.000